Record 1
Below is crystalline SrCo2Ge2 at its relaxed geometry, with properties calculated at the PBE level.

The space group is I4/mmm (No. 139) and the conventional cell measures 4.030, 4.030 and 10.954 Å, with angles of 90.00, 90.00 and 90.00 degrees. The inequivalent atoms are Sr at (0.000, 0.000, 0.000), Co at (0.000, 0.500, 0.250) and Ge at (0.000, 0.000, 0.359).

The total moment is 0.000 μB per cell. As for the total energy: -27.3 eV/f.u. The density of states at the Fermi level is 0.410 states/eV per atom. Its formation energy is -430 meV per atom.

***

Record 2
Below is crystalline Nd2RuCl at its relaxed geometry, with properties calculated at the PBE level.

The space group is R-3m (No. 166, hexagonal axes) and the conventional cell measures 3.3806, 3.3806 and 29.4988 Å, with angles of 90.00, 90.00 and 120.00 degrees. The inequivalent atoms are Nd at (0.0000, 0.0000, 0.0870), Ru at (0.0000, 0.0000, 0.0000) and Cl at (0.0000, 0.0000, 0.5000).

The total moment is 0.000 μB per cell. As for the total energy: -21.4 eV/f.u. The calculation puts the formation energy without anion corrections at -0.187 eV per atom. The energy above the most stable polymorph in this dataset is 0.657 eV/atom. The density of states at the Fermi level is 0.606 states/eV per atom.

***

Record 3
Below is crystalline Tm4Mg3Al at its relaxed geometry, with properties calculated at the PBE level.

The space group is Pmm2 (No. 25) and the conventional cell measures 3.378, 4.951 and 12.356 Å, with angles of 90.00, 90.00 and 90.00 degrees. The inequivalent atoms are Tm at (0.000, 0.000, 0.000), Tm at (0.000, 0.500, 0.331), Tm at (0.500, 0.000, 0.484), Tm at (0.500, 0.500, 0.841), Mg at (0.000, 0.000, 0.730), Mg at (0.000, 0.500, 0.597), Mg at (0.500, 0.500, 0.103) and Al at (0.500, 0.000, 0.232).

The total moment is 0.000 μB per cell. As for the total energy: -27.1 eV/f.u. The energy above the most stable polymorph in this dataset is 0.068 eV/atom. The density of states at the Fermi level is 0.889 states/eV per atom. Its formation energy is -87 meV per atom.

***

Record 4
Below is crystalline LiSc2GaC at its relaxed geometry, with properties calculated at the PBE level.

The space group is P4/mmm (No. 123) and the conventional cell measures 4.474, 4.474 and 4.178 Å, with angles of 90.00, 90.00 and 90.00 degrees. The inequivalent atoms are Li at (0.000, 0.000, 0.000), Sc at (0.000, 0.500, 0.500), Ga at (0.500, 0.500, 0.000) and C at (0.000, 0.000, 0.500).

The total moment is 0.000 μB per cell. As for the total energy: -28.4 eV/f.u. The density of states at the Fermi level is 0.786 states/eV per atom. Its formation energy is -315 meV per atom.